Cd2Co3CuO8: optimized geometry, GGA+U.

Cell and atoms, written as POSCAR:
```
Cd2Co3CuO8
1.0
5.8374 0.0000 0.0000
2.9187 5.0553 0.0000
2.9187 1.6851 5.4442
O Cd Cu Co
8 2 1 3
Cartesian
8.7561 5.0553 4.5131 O
2.9187 1.6851 1.0856 O
7.1529 4.1297 1.1051 O
4.5093 2.6034 4.5049 O
4.5220 4.1297 1.1051 O
5.8374 4.9038 4.5049 O
7.1656 2.6034 4.5049 O
5.8374 1.8513 1.1051 O
2.9187 1.6851 3.2866 Cd
5.8374 3.3702 2.8275 Cd
8.7561 5.0554 1.3481 Cu
7.2821 2.5361 0.0573 Co
5.8374 5.0385 0.0573 Co
4.3927 2.5361 0.0573 Co
```

## Properties
* theoretical density: 6.13 g/cm³
* Fermi-level density of states: 0.86 states/eV/f.u.
* E: -72.5 eV for the cell shown